Record 1
CuMo2Br: optimized geometry, PBE.

a = 3.160 Å, b = 3.318 Å, c = 7.223 Å
α = 88.15°, β = 90.00°, γ = 90.00°
Element x y z (fractional)
Br (0.000, 0.504, 0.493)
Cu (0.500, 0.504, 0.803)
Mo (0.000, 0.983, 0.015)
Mo (0.500, 0.509, 0.189)

* energy relative to the lowest polymorph listed for this composition: 0.0 meV/atom



Record 2
Cu2MoBr6: optimized geometry, PBE.

a = 7.301 Å, b = 9.659 Å, c = 9.659 Å
α = 82.40°, β = 112.27°, γ = 112.27°
Site moments in Bohr magnetons follow the coordinates.
Element x y z (fractional)
Cu (0.130, 0.458, 0.132)  -0.01
Cu (0.370, 0.868, 0.542)  -0.01
Cu (0.870, 0.542, 0.868)  -0.01
Cu (0.630, 0.132, 0.458)  -0.01
Mo (0.250, 0.747, 0.253)  1.72
Mo (0.750, 0.253, 0.747)  1.72
Br (0.473, 0.289, 0.494)  0.02
Br (0.027, 0.506, 0.711)  0.02
Br (0.527, 0.711, 0.506)  0.02
Br (0.973, 0.494, 0.289)  0.02
Br (0.938, 0.126, 0.652)  0.01
Br (0.562, 0.348, 0.874)  0.01
Br (0.062, 0.874, 0.348)  0.01
Br (0.438, 0.652, 0.126)  0.01
Br (0.011, 0.224, 0.016)  0.00
Br (0.489, 0.984, 0.776)  0.00
Br (0.989, 0.776, 0.984)  0.00
Br (0.511, 0.016, 0.224)  0.00



Record 3
Cu3MoBr: optimized geometry, PBE.

a = 4.795 Å, b = 4.795 Å, c = 4.795 Å
α = 90.00°, β = 90.00°, γ = 90.00°
Element x y z (fractional)
Mo (0.000, 0.000, 0.000)
Cu (0.000, 0.500, 0.000)
Cu (0.000, 0.000, 0.500)
Cu (0.500, 0.000, 0.000)
Br (0.500, 0.500, 0.500)

* energy relative to the lowest polymorph listed for this composition: 0.0 meV/atom



Which formation energy without anion corrections belongs to each record? In order, 36.6, -40.3, 141.8 kJ/mol of atoms.